Record 1
The following is a DFT calculation (meta-GGA SCAN) of NiGe2Cl at its PBEsol-relaxed geometry.

Computed properties:
As for the formation energy (no corrections): 0.5423 eV/atom. As for the space group: No. 225.

Cell and atoms, written as extended XYZ:
```
4
Lattice="0.000 3.180 3.180 3.180 0.000 3.180 3.180 3.180 0.000" Properties=species:S:1:pos:R:3 pbc="T T T"
Ni 0.000 0.000 0.000
Ge 1.590 1.590 1.590
Ge 4.770 4.770 4.770
Cl 3.180 3.180 3.180
```

Record 2
The following is a DFT calculation (meta-GGA SCAN) of Cr2SiRu at its PBEsol-relaxed geometry.

Computed properties:
As for the formation energy (no corrections): -0.3035 eV/atom. As for the space group: No. 99.

Cell and atoms, written as extended XYZ:
```
4
Lattice="2.887 0.000 0.000 0.000 2.887 0.000 0.000 0.000 5.640" Properties=species:S:1:pos:R:3 pbc="T T T"
Cr 0.000 0.000 0.000
Cr 1.444 1.444 1.181
Si 1.444 1.444 4.215
Ru 0.000 0.000 2.852
```

Record 3
The following is a DFT calculation (meta-GGA SCAN) of ZrSeO at its PBEsol-relaxed geometry.

Computed properties:
As for the formation energy (no corrections): -2.6321 eV/atom. As for the space group: No. 198. Its relative energy among the computed polymorphs is 0.00 eV per formula unit.

Cell and atoms, written as extended XYZ:
```
12
Lattice="5.799 0.000 0.000 0.000 5.799 0.000 0.000 0.000 5.799" Properties=species:S:1:pos:R:3 pbc="T T T"
Zr 0.454 0.454 0.454
Zr 2.445 5.345 3.354
Zr 3.354 2.445 5.345
Zr 5.345 3.354 2.445
Se 0.906 3.806 4.893
Se 1.993 1.993 1.993
Se 3.806 4.893 0.906
Se 4.893 0.906 3.806
O 0.876 4.923 2.024
O 2.024 0.876 4.923
O 3.775 3.775 3.775
O 4.923 2.024 0.876
```

Record 4
The following is a DFT calculation (meta-GGA SCAN) of LiNi2Cl at its PBEsol-relaxed geometry.

Computed properties:
As for the formation energy (no corrections): 0.1419 eV/atom. As for the space group: No. 44. Its relative energy among the computed polymorphs is 1.28 eV per formula unit.

Cell and atoms, written as extended XYZ:
```
4
Lattice="-1.474 2.032 4.265 1.474 -2.032 4.265 1.474 2.032 -4.265" Properties=species:S:1:pos:R:3 pbc="T T T"
Li 0.000 0.000 0.000
Ni 1.474 0.000 2.708
Ni 0.000 0.000 4.557
Cl 0.000 2.032 1.919
```

Record 5
The following is a DFT calculation (meta-GGA SCAN) of YBe2P at its PBEsol-relaxed geometry.

Computed properties:
The energy of formation from the pure elements is -0.30 eV/atom. As for the space group: No. 12.

Cell and atoms, written as extended XYZ:
```
4
Lattice="3.175 -1.844 0.000 3.175 1.844 0.000 -2.128 0.000 4.740" Properties=species:S:1:pos:R:3 pbc="T T T"
Y 0.000 0.000 0.000
Be -0.013 0.000 2.885
Be 4.236 0.000 1.855
P 2.111 0.000 2.370
```

Record 6
The following is a DFT calculation (meta-GGA SCAN) of RbCrOs3 at its PBEsol-relaxed geometry.

Computed properties:
The energy of formation from the pure elements is 4.17 eV/atom. As for the space group: No. 221.

Cell and atoms, written as extended XYZ:
```
5
Lattice="4.635 0.000 0.000 0.000 4.635 0.000 0.000 0.000 4.635" Properties=species:S:1:pos:R:3 pbc="T T T"
Rb 0.000 0.000 0.000
Cr 2.318 2.318 2.318
Os 0.000 0.000 2.318
Os 0.000 2.318 0.000
Os 2.318 0.000 0.000
```

Record 7
The following is a DFT calculation (meta-GGA SCAN) of RbCaTl2 at its PBEsol-relaxed geometry.

Computed properties:
The energy of formation from the pure elements is -0.21 eV/atom. As for the space group: No. 225.

Cell and atoms, written as extended XYZ:
```
4
Lattice="0.000 4.032 4.032 4.032 0.000 4.032 4.032 4.032 0.000" Properties=species:S:1:pos:R:3 pbc="T T T"
Rb 0.000 0.000 0.000
Ca 4.032 4.032 4.032
Tl 2.016 2.016 2.016
Tl 6.048 6.048 6.048
```

Record 8
The following is a DFT calculation (meta-GGA SCAN) of K3LiMn4Mo6O24 at its PBEsol-relaxed geometry.

Computed properties:
As for the formation energy (no corrections): -2.2399 eV/atom. As for the space group: No. 161.

Cell and atoms, written as extended XYZ:
```
76
Lattice="7.188 4.150 6.569 -7.188 4.150 6.569 0.000 -8.300 6.569" Properties=species:S:1:pos:R:3 pbc="T T T"
K -5.321 -1.083 9.854
K -1.722 -3.149 6.569
K -1.866 3.066 6.569
K 3.589 0.083 6.569
K 3.599 -4.067 9.854
K 1.723 5.150 9.854
Li 0.000 0.000 2.641
Li 0.000 0.000 12.495
Mn -1.588 -5.645 9.244
Mn -4.095 4.198 9.244
Mn 0.000 0.000 7.686
Mn -3.093 0.048 12.529
Mn 1.505 -2.703 12.529
Mn 1.588 2.655 12.529
Mn 0.000 0.000 17.540
Mn 5.683 1.447 9.244
Mo -5.781 2.034 7.081
Mo -2.442 0.079 4.828
Mo 1.129 -6.023 7.081
Mo 1.153 -2.154 4.828
Mo -1.407 -2.116 10.366
Mo 1.289 2.075 4.828
Mo -1.129 2.276 10.366
Mo -1.153 -2.154 14.682
Mo 2.536 -0.161 10.366
Mo -1.289 2.075 14.682
Mo 4.652 3.989 7.081
Mo 2.442 0.079 14.682
O -1.523 0.836 1.573
O 0.037 -1.737 1.573
O -1.386 -0.962 3.839
O -6.496 -2.474 12.041
O -0.008 -3.286 4.096
O -2.842 1.650 4.096
O -0.180 -5.045 7.784
O -4.279 2.678 7.784
O 1.486 0.900 1.573
O -1.699 0.296 6.414
O -0.139 1.681 3.839
O -1.540 -3.879 10.294
O 1.526 -0.720 3.839
O -2.909 -1.471 11.069
O 0.593 -1.620 6.414
O -1.105 -1.437 8.756
O -4.524 1.093 11.524
O -4.599 -0.877 13.579
O -2.664 -3.057 14.808
O 1.106 1.323 6.414
O -0.692 1.676 8.756
O 2.849 1.636 4.096
O -2.589 3.273 10.294
O 1.315 -4.464 11.524
O -0.037 -1.737 11.426
O -1.486 0.900 11.426
O 1.797 -0.239 8.756
O -1.526 -0.720 13.693
O -2.849 1.636 13.950
O 0.008 -3.286 13.950
O 2.729 -1.784 11.069
O 0.180 3.255 11.069
O 1.523 0.836 11.426
O -0.593 -1.620 16.268
O 1.386 -0.962 13.693
O 3.059 -3.544 13.579
O 0.139 1.681 13.693
O 4.459 2.366 7.784
O -1.106 1.323 16.268
O 5.390 -4.388 12.041
O -1.315 3.835 14.808
O 4.129 0.606 10.294
O 3.209 3.371 11.524
O 1.699 0.296 16.268
O 1.105 6.862 12.041
O 2.842 1.650 13.950
O 1.540 4.421 13.579
O 3.979 -0.779 14.808
```

| no. | uncorrected energy (eV for the cell shown) |
| --- | --- |
| 1 | -60.16 |
| 2 | -82.83 |
| 3 | -259.62 |
| 4 | -42.15 |
| 5 | -48.13 |
| 6 | -233.92 |
| 7 | -175.97 |
| 8 | -1088.74 |